1.
The following is a DFT calculation (PBE-GGA) of a geometry-optimized RbMnSn2Br8 structure.

The calculation puts the formation energy without anion corrections at -881 meV per atom. The value obtained for the total DFT energy (no corrections) is -42.10 eV/cell. The calculation puts the magnetization at 4.0 μB/cell.

Cell and atoms, written as CIF:
```
data_RbMnSn2Br8
_chemical_formula_sum 'Rb1 Mn1 Sn2 Br8'
_symmetry_space_group_name_H-M 'P -1'
_symmetry_Int_Tables_number 2
_symmetry_space_group_name_Hall '-P 1'
_cell_length_a 7.2641
_cell_length_b 7.5891
_cell_length_c 8.9235
_cell_angle_alpha 77.12
_cell_angle_beta 73.08
_cell_angle_gamma 89.09
loop_
_atom_site_label
_atom_site_type_symbol
_atom_site_fract_x
_atom_site_fract_y
_atom_site_fract_z
_atom_site_occupancy
Rb1 Rb 0.0000 0.0000 0.0000 1
Mn1 Mn 0.0000 0.0000 0.5000 1
Sn1 Sn 0.4604 0.3685 0.2491 1
Br1 Br 0.1273 0.2557 0.5740 1
Br2 Br 0.1707 0.7873 0.6571 1
Br3 Br 0.2433 0.5724 0.0586 1
Br4 Br 0.3423 0.0493 0.2159 1
```

=====

2.
The following is a DFT calculation (PBE-GGA) of a geometry-optimized TbCdPtPb structure.

The value obtained for the calculated formation energy is -1.869 eV per formula unit. The value obtained for the total DFT energy (no corrections) is -68.66 eV/cell. The calculation puts the magnetization at 0.0 μB/cell.

Cell and atoms, written as CIF:
```
data_TbCdPtPb
_chemical_formula_sum 'Tb4 Cd4 Pt4 Pb4'
_symmetry_space_group_name_H-M 'F -4 3 m'
_symmetry_Int_Tables_number 216
_symmetry_space_group_name_Hall 'F -4 2 3'
_cell_length_a 7.1403
_cell_length_b 7.1403
_cell_length_c 7.1403
_cell_angle_alpha 90.00
_cell_angle_beta 90.00
_cell_angle_gamma 90.00
loop_
_atom_site_label
_atom_site_type_symbol
_atom_site_fract_x
_atom_site_fract_y
_atom_site_fract_z
_atom_site_occupancy
Tb1 Tb 0.0000 0.0000 0.0000 1
Cd1 Cd 0.2500 0.2500 0.2500 1
Pt1 Pt 0.2500 0.2500 0.7500 1
Pb1 Pb 0.0000 0.0000 0.5000 1
```

=====

3.
The following is a DFT calculation (PBE-GGA) of a geometry-optimized ZrAgCl3 structure.

The calculation puts the formation energy without anion corrections at -794 meV per atom. The calculation puts the relative energy among the computed polymorphs at 0 meV/atom. The value obtained for the total DFT energy (no corrections) is -20.91 eV/cell. The calculation puts the magnetization at 0.0 μB/cell.

Cell and atoms, written as CIF:
```
data_ZrAgCl3
_chemical_formula_sum 'Zr1 Ag1 Cl3'
_symmetry_space_group_name_H-M 'P m -3 m'
_symmetry_Int_Tables_number 221
_symmetry_space_group_name_Hall '-P 4 2 3'
_cell_length_a 5.0653
_cell_length_b 5.0653
_cell_length_c 5.0653
_cell_angle_alpha 90.00
_cell_angle_beta 90.00
_cell_angle_gamma 90.00
loop_
_atom_site_label
_atom_site_type_symbol
_atom_site_fract_x
_atom_site_fract_y
_atom_site_fract_z
_atom_site_occupancy
Zr1 Zr 0.0000 0.0000 0.0000 1
Ag1 Ag 0.5000 0.5000 0.5000 1
Cl1 Cl 0.0000 0.0000 0.5000 1
```

=====

4.
The following is a DFT calculation (PBE-GGA) of a geometry-optimized PtRhN structure.

The calculation puts the formation energy without anion corrections at 257 meV per atom. The calculation puts the relative energy among the computed polymorphs at 84 meV/atom. The value obtained for the total DFT energy (no corrections) is -41.89 eV/cell. The calculation puts the magnetization at 0.7 μB/cell.

Cell and atoms, written as CIF:
```
data_PtRhN
_chemical_formula_sum 'Pt2 Rh2 N2'
_symmetry_space_group_name_H-M 'P 1 m 1'
_symmetry_Int_Tables_number 6
_symmetry_space_group_name_Hall 'P -2y'
_cell_length_a 2.7958
_cell_length_b 2.7722
_cell_length_c 10.6829
_cell_angle_alpha 90.00
_cell_angle_beta 97.46
_cell_angle_gamma 90.00
loop_
_atom_site_label
_atom_site_type_symbol
_atom_site_fract_x
_atom_site_fract_y
_atom_site_fract_z
_atom_site_occupancy
Pt1 Pt 0.0000 0.0000 0.0000 1
Pt2 Pt 0.1678 0.0000 0.3695 1
Rh1 Rh 0.4051 0.5000 0.8115 1
Rh2 Rh 0.5891 0.5000 0.1811 1
N1 N 0.2833 0.0000 0.5560 1
N2 N 0.3350 0.0000 0.6656 1
```